[1]
CoTcSbI2: optimized geometry, GGA-PBE.

Summary:
formation energy (no corrections) = 1.157 eV/atom

CIF file:
```
data_CoTcSbI2
_cell_length_a 5.522
_cell_length_b 5.522
_cell_length_c 5.050
_cell_angle_alpha 90.00
_cell_angle_beta 90.00
_cell_angle_gamma 90.00
_symmetry_space_group_name_H-M 'P 1'
_symmetry_Int_Tables_number 1
loop_
_symmetry_equiv_pos_as_xyz
'x,y,z'
loop_
_atom_site_label
_atom_site_fract_x
_atom_site_fract_y
_atom_site_fract_z
I1 0.000 0.500 0.000
I2 0.500 0.000 0.000
Sb1 0.000 0.000 0.500
Co1 0.500 0.500 0.500
Tc1 0.000 0.000 0.000
```

[2]
CoTcSbI2: optimized geometry, GGA-PBE.

Summary:
formation energy (no corrections) = 1.084 eV/atom

CIF file:
```
data_CoTcSbI2
_cell_length_a 5.291
_cell_length_b 5.291
_cell_length_c 4.867
_cell_angle_alpha 90.00
_cell_angle_beta 90.00
_cell_angle_gamma 90.00
_symmetry_space_group_name_H-M 'P 1'
_symmetry_Int_Tables_number 1
loop_
_symmetry_equiv_pos_as_xyz
'x,y,z'
loop_
_atom_site_label
_atom_site_fract_x
_atom_site_fract_y
_atom_site_fract_z
I1 0.000 0.500 0.000
I2 0.500 0.000 0.000
Sb1 0.000 0.000 0.500
Co1 0.000 0.000 0.000
Tc1 0.500 0.500 0.500
```

[3]
TiCoSb2I: optimized geometry, GGA-PBE.

Summary:
formation energy (no corrections) = 0.652 eV/atom

CIF file:
```
data_TiCoSb2I
_cell_length_a 4.867
_cell_length_b 4.867
_cell_length_c 5.294
_cell_angle_alpha 90.00
_cell_angle_beta 90.00
_cell_angle_gamma 90.00
_symmetry_space_group_name_H-M 'P 1'
_symmetry_Int_Tables_number 1
loop_
_symmetry_equiv_pos_as_xyz
'x,y,z'
loop_
_atom_site_label
_atom_site_fract_x
_atom_site_fract_y
_atom_site_fract_z
I1 0.000 0.000 0.500
Sb1 0.000 0.500 0.000
Sb2 0.500 0.000 0.000
Co1 0.000 0.000 0.000
Ti1 0.500 0.500 0.500
```

[4]
TiCoSb2I: optimized geometry, GGA-PBE.

Summary:
formation energy (no corrections) = 0.811 eV/atom

CIF file:
```
data_TiCoSb2I
_cell_length_a 5.310
_cell_length_b 5.310
_cell_length_c 5.358
_cell_angle_alpha 90.00
_cell_angle_beta 90.00
_cell_angle_gamma 90.00
_symmetry_space_group_name_H-M 'P 1'
_symmetry_Int_Tables_number 1
loop_
_symmetry_equiv_pos_as_xyz
'x,y,z'
loop_
_atom_site_label
_atom_site_fract_x
_atom_site_fract_y
_atom_site_fract_z
I1 0.000 0.000 0.500
Sb1 0.000 0.500 0.000
Sb2 0.500 0.000 0.000
Co1 0.500 0.500 0.500
Ti1 0.000 0.000 0.000
```

[5]
VCoSb2I: optimized geometry, GGA-PBE.

Summary:
formation energy (no corrections) = 0.726 eV/atom

CIF file:
```
data_VCoSb2I
_cell_length_a 4.829
_cell_length_b 4.829
_cell_length_c 5.559
_cell_angle_alpha 90.00
_cell_angle_beta 90.00
_cell_angle_gamma 90.00
_symmetry_space_group_name_H-M 'P 1'
_symmetry_Int_Tables_number 1
loop_
_symmetry_equiv_pos_as_xyz
'x,y,z'
loop_
_atom_site_label
_atom_site_fract_x
_atom_site_fract_y
_atom_site_fract_z
I1 0.000 0.000 0.500
Sb1 0.000 0.500 0.000
Sb2 0.500 0.000 0.000
Co1 0.000 0.000 0.000
V1 0.500 0.500 0.500
```

[6]
VCoSb2I: optimized geometry, GGA-PBE.

Summary:
formation energy (no corrections) = 0.925 eV/atom

CIF file:
```
data_VCoSb2I
_cell_length_a 5.076
_cell_length_b 5.076
_cell_length_c 5.669
_cell_angle_alpha 90.00
_cell_angle_beta 90.00
_cell_angle_gamma 90.00
_symmetry_space_group_name_H-M 'P 1'
_symmetry_Int_Tables_number 1
loop_
_symmetry_equiv_pos_as_xyz
'x,y,z'
loop_
_atom_site_label
_atom_site_fract_x
_atom_site_fract_y
_atom_site_fract_z
I1 0.000 0.000 0.500
Sb1 0.000 0.500 0.000
Sb2 0.500 0.000 0.000
Co1 0.500 0.500 0.500
V1 0.000 0.000 0.000
```

[7]
Co2SbWI: optimized geometry, GGA-PBE.

Summary:
formation energy (no corrections) = 1.760 eV/atom

CIF file:
```
data_Co2SbWI
_cell_length_a 4.560
_cell_length_b 5.121
_cell_length_c 4.560
_cell_angle_alpha 90.00
_cell_angle_beta 90.00
_cell_angle_gamma 90.00
_symmetry_space_group_name_H-M 'P 1'
_symmetry_Int_Tables_number 1
loop_
_symmetry_equiv_pos_as_xyz
'x,y,z'
loop_
_atom_site_label
_atom_site_fract_x
_atom_site_fract_y
_atom_site_fract_z
I1 0.000 0.000 0.000
Sb1 0.500 0.500 0.500
Co1 0.000 0.000 0.500
Co2 0.500 0.000 0.000
W1 0.000 0.500 0.000
```

[8]
Co2SbWI: optimized geometry, GGA-PBE.

Summary:
formation energy (no corrections) = 1.651 eV/atom

CIF file:
```
data_Co2SbWI
_cell_length_a 4.748
_cell_length_b 5.245
_cell_length_c 4.748
_cell_angle_alpha 90.00
_cell_angle_beta 90.00
_cell_angle_gamma 90.00
_symmetry_space_group_name_H-M 'P 1'
_symmetry_Int_Tables_number 1
loop_
_symmetry_equiv_pos_as_xyz
'x,y,z'
loop_
_atom_site_label
_atom_site_fract_x
_atom_site_fract_y
_atom_site_fract_z
I1 0.500 0.500 0.500
Sb1 0.000 0.000 0.000
Co1 0.000 0.000 0.500
Co2 0.500 0.000 0.000
W1 0.000 0.500 0.000
```

[9]
CoSb2WI: optimized geometry, GGA-PBE.

Summary:
formation energy (no corrections) = 1.284 eV/atom

CIF file:
```
data_CoSb2WI
_cell_length_a 5.180
_cell_length_b 5.180
_cell_length_c 5.765
_cell_angle_alpha 90.00
_cell_angle_beta 90.00
_cell_angle_gamma 90.00
_symmetry_space_group_name_H-M 'P 1'
_symmetry_Int_Tables_number 1
loop_
_symmetry_equiv_pos_as_xyz
'x,y,z'
loop_
_atom_site_label
_atom_site_fract_x
_atom_site_fract_y
_atom_site_fract_z
I1 0.000 0.000 0.500
Sb1 0.000 0.500 0.000
Sb2 0.500 0.000 0.000
Co1 0.500 0.500 0.500
W1 0.000 0.000 0.000
```

[10]
CoSb2WI: optimized geometry, GGA-PBE.

Summary:
formation energy (no corrections) = 1.294 eV/atom

CIF file:
```
data_CoSb2WI
_cell_length_a 4.830
_cell_length_b 4.830
_cell_length_c 5.221
_cell_angle_alpha 90.00
_cell_angle_beta 90.00
_cell_angle_gamma 90.00
_symmetry_space_group_name_H-M 'P 1'
_symmetry_Int_Tables_number 1
loop_
_symmetry_equiv_pos_as_xyz
'x,y,z'
loop_
_atom_site_label
_atom_site_fract_x
_atom_site_fract_y
_atom_site_fract_z
I1 0.000 0.000 0.500
Sb1 0.000 0.500 0.000
Sb2 0.500 0.000 0.000
Co1 0.000 0.000 0.000
W1 0.500 0.500 0.500
```

[11]
YCoSbI2: optimized geometry, GGA-PBE.

Summary:
formation energy (no corrections) = 0.039 eV/atom

CIF file:
```
data_YCoSbI2
_cell_length_a 5.113
_cell_length_b 5.113
_cell_length_c 5.283
_cell_angle_alpha 90.00
_cell_angle_beta 90.00
_cell_angle_gamma 90.00
_symmetry_space_group_name_H-M 'P 1'
_symmetry_Int_Tables_number 1
loop_
_symmetry_equiv_pos_as_xyz
'x,y,z'
loop_
_atom_site_label
_atom_site_fract_x
_atom_site_fract_y
_atom_site_fract_z
I1 0.000 0.500 0.000
I2 0.500 0.000 0.000
Sb1 0.000 0.000 0.500
Y1 0.500 0.500 0.500
Co1 0.000 0.000 0.000
```

[12]
YCoSbI2: optimized geometry, GGA-PBE.

Summary:
formation energy (no corrections) = 0.393 eV/atom

CIF file:
```
data_YCoSbI2
_cell_length_a 5.884
_cell_length_b 5.884
_cell_length_c 6.214
_cell_angle_alpha 90.00
_cell_angle_beta 90.00
_cell_angle_gamma 90.00
_symmetry_space_group_name_H-M 'P 1'
_symmetry_Int_Tables_number 1
loop_
_symmetry_equiv_pos_as_xyz
'x,y,z'
loop_
_atom_site_label
_atom_site_fract_x
_atom_site_fract_y
_atom_site_fract_z
I1 0.000 0.500 0.000
I2 0.500 0.000 0.000
Sb1 0.000 0.000 0.500
Y1 0.000 0.000 0.000
Co1 0.500 0.500 0.500
```